# Mo2PbAu

A PBEsol-optimized structure of Mo2PbAu (SCAN, Alexandria via LeMat-Bulk).

Lattice parameters (Å, degrees): 3.4211 4.4356 4.6329 90.00 90.00 90.00
Last column: nearest neighbours and their distance in Å.
Fractional positions:
Au: 0.0000 0.5000 0.5000  4 Pb 2.80, 4 Mo 2.88
Mo: 0.0000 0.0000 0.0000  4 Mo 2.80, 4 Pb 2.88
Mo: 0.5000 0.5000 0.0000  4 Mo 2.80, 4 Au 2.88
Pb: 0.5000 0.0000 0.5000  4 Au 2.80, 4 Mo 2.88

Summary:
E_form: 2.4 eV per formula unit
Crystal system: orthorhombic


# MoOs3

A PBEsol-optimized structure of MoOs3 (SCAN, Alexandria via LeMat-Bulk).

Lattice parameters (Å, degrees): 2.6649 5.0967 5.0967 117.03 100.04 100.04
Last column: nearest neighbours and their distance in Å.
Fractional positions:
Mo: 0.0000 0.0000 0.0000  6 Os 2.66, 2 Mo 2.66
Os: 0.0000 0.5000 0.5000  2 Mo 2.66, 6 Os 2.66
Os: 0.5000 0.5000 0.0000  6 Os 2.66, 2 Mo 2.66
Os: 0.5000 0.0000 0.5000  2 Mo 2.66, 6 Os 2.66

Summary:
E_form: 2.4 eV per formula unit
Crystal system: trigonal


# Cd2HgPb

A PBEsol-optimized structure of Cd2HgPb (SCAN, Alexandria via LeMat-Bulk).

Lattice parameters (Å, degrees): 3.3790 3.3790 9.9004 80.17 80.17 60.00
Last column: nearest neighbours and their distance in Å.
Fractional positions:
Pb: 0.2505 0.2505 0.2484  3 Cd 3.24, 3 Hg 3.27, 6 Pb 3.38
Hg: 0.4939 0.4939 0.5182  3 Cd 2.99, 3 Pb 3.27
Cd: 0.0060 0.0060 0.9820  3 Cd 2.97, 3 Pb 3.24
Cd: 0.7496 0.7496 0.7513  3 Cd 2.97, 3 Hg 2.99

Summary:
E_form: 0.2 eV per formula unit
Crystal system: trigonal